(1)
SrTe4Ir PBE-GGA optimized geometry; calculated density = 7.36 g/cm3; crystal system = cubic; raw formation energy = 48.8 kJ/mol of atoms; M_tot = 0.36 μB/atom
1.0
6.1655 -0.8918 1.0452
2.2563 0.1410 5.8983
2.0002 -5.3261 2.7446
Te Ir Sr
4 1 1
direct
0.8700 0.3767 0.3767
0.3767 0.3767 0.8700
0.3767 0.3767 0.3767
0.3767 0.8700 0.3767
0.7500 0.7500 0.7500
0.0000 0.0000 0.0000

(2)
SrTeIr4 PBE-GGA optimized geometry; calculated density = 14.53 g/cm3; crystal system = cubic; raw formation energy = 15.7 kJ/mol of atoms; M_tot = 0.00 μB/atom
1.0
0.0000 3.8313 3.8313
3.8313 0.0000 3.8313
3.8313 3.8313 0.0000
Ir Sr Te
4 1 1
direct
0.3749 0.3749 0.3749
0.8754 0.3749 0.3749
0.3749 0.3749 0.8754
0.3749 0.8754 0.3749
0.7500 0.7500 0.7500
0.0000 0.0000 0.0000

(3)
SrTe2Ir PBE-GGA optimized geometry; calculated density = 8.19 g/cm3; crystal system = tetragonal; raw formation energy = -28.5 kJ/mol of atoms; M_tot = 0.00 μB/atom
1.0
-2.2172 -1.2526 3.0723
2.1593 -3.3504 0.1923
4.2989 3.0194 4.3335
Sr Te Ir
1 2 1
direct
0.5000 0.5000 0.7874
0.5000 0.5000 0.3213
0.0000 0.0000 0.9994
0.0000 0.0000 0.3916

(4)
SrTe2Ir PBE-GGA optimized geometry; calculated density = 7.79 g/cm3; crystal system = tetragonal; raw formation energy = -61.0 kJ/mol of atoms; M_tot = 0.00 μB/atom
1.0
8.1848 0.0000 0.0000
0.0000 8.1848 0.0000
4.0924 4.0924 3.4044
Ir Sr Te
2 2 4
direct
0.0000 0.0000 0.0000
0.7500 0.2500 0.5000
0.2500 0.7500 0.5000
0.5000 0.5000 0.0000
0.0414 0.6250 0.2500
0.8750 0.9586 0.7500
0.3750 0.2914 0.7500
0.7086 0.1250 0.2500

(5)
SrTe2Ir PBE-GGA optimized geometry; calculated density = 8.26 g/cm3; crystal system = orthorhombic; raw formation energy = -32.2 kJ/mol of atoms; M_tot = 0.00 μB/atom
1.0
7.4340 0.8943 -0.1887
4.7643 5.7762 0.1887
-5.8813 -3.7336 2.7513
Ir Te Sr
1 2 1
direct
0.5386 0.5386 0.0000
0.6783 0.1783 0.5000
0.9810 0.9810 0.0000
0.3021 0.8021 0.5000

(6)
SrTe2Ir PBE-GGA optimized geometry; calculated density = 8.94 g/cm3; crystal system = cubic; raw formation energy = -2.9 kJ/mol of atoms; M_tot = 0.00 μB/atom
1.0
2.5231 -2.0938 4.0338
-2.6730 -2.1606 3.8998
0.0497 -5.1584 0.6408
Sr Te Ir
1 2 1
direct
0.0000 0.0000 0.0000
0.7500 0.7500 0.7500
0.2500 0.2500 0.2500
0.5000 0.5000 0.5000

Q: Which value of calculated density does entry 1 give?
A: 7.36 g/cm3

Q: What is the calculated density in the third record?
A: 8.19 g/cm3

Q: raw formation energy of number 5 (SrTe2Ir)?
A: -32.2 kJ/mol of atoms